[1]
Here is a relaxed structure of NaBeSiO2 from Alexandria. Energies are from GGA-PBE.

a b c (Å): 4.0567 4.0567 4.0928
angles (deg): 90.00 90.00 90.00
Closest atoms and distances in Å follow each position.
Positions (direct):
1 Na 0.0000 0.0000 0.0000  4 O 2.03, 2 Be 2.05
2 Be 0.0000 0.0000 0.5000  2 Na 2.05
3 Si 0.5000 0.5000 0.5000  4 Be 2.87, 8 O 2.88
4 O 0.0000 0.5000 0.0000  2 Na 2.03
5 O 0.5000 0.0000 0.0000  2 Na 2.03

Computed properties:
**V**: 13.5 A^3/atom
**Uncorrected energy**: -0.1148 Ha/atom
**Symmetry**: No. 123
**Magnetic moment**: 0.000 μB per atom
**Crystal system**: tetragonal
**Raw formation energy**: 953.0 meV per atom

---

[2]
Here is a relaxed structure of NaBeSi3O8 from Alexandria. Energies are from GGA-PBE.

a b c (Å): 7.5469 7.5469 15.1775
angles (deg): 104.15 104.15 52.38
Closest atoms and distances in Å follow each position.
Positions (direct):
1 Na 0.0602 0.1308 0.1309  4 O 2.24-2.48
2 Na 0.1308 0.0602 0.6309  4 O 2.24-2.48
3 Na 0.8692 0.9398 0.3691  4 O 2.24-2.48
4 Na 0.9398 0.8692 0.8691  4 O 2.24-2.48
5 Be 0.1689 0.4015 0.7416  4 O 1.59-1.72
6 Be 0.4015 0.1689 0.2416  4 O 1.59-1.72
7 Be 0.5985 0.8311 0.7584  4 O 1.59-1.72
8 Be 0.8311 0.5985 0.2584  4 O 1.59-1.72
9 Si 0.0302 0.3162 0.4121  4 O 1.62-1.65
10 Si 0.1179 0.5727 0.1517  4 O 1.62-1.66
11 Si 0.3162 0.0302 0.9121  4 O 1.62-1.65
12 Si 0.4273 0.8821 0.3483  4 O 1.62-1.66
13 Si 0.4363 0.5457 0.8934  4 O 1.59-1.68
14 Si 0.4543 0.5637 0.6066  4 O 1.59-1.68
15 Si 0.5457 0.4363 0.3934  4 O 1.59-1.68
16 Si 0.5637 0.4543 0.1066  4 O 1.59-1.68
17 Si 0.5727 0.1179 0.6517  4 O 1.62-1.66
18 Si 0.6838 0.9698 0.0879  4 O 1.62-1.65
19 Si 0.8821 0.4273 0.8483  4 O 1.62-1.66
20 Si 0.9698 0.6838 0.5879  4 O 1.62-1.65
21 O 0.0000 0.5000 0.5000  2 Si 1.62
22 O 0.0194 0.3872 0.3173  1 Si 1.62, 1 Be 1.63
23 O 0.0261 0.3040 0.7588  1 Si 1.66, 1 Be 1.72
24 O 0.0730 0.2753 0.9309  2 Si 1.65-1.66
25 O 0.1713 0.7171 0.5978  2 Si 1.65-1.68
26 O 0.2247 0.3113 0.1546  1 Si 1.62, 1 Be 1.66
27 O 0.2753 0.0730 0.4309  2 Si 1.65-1.66
28 O 0.2754 0.4797 0.8327  1 Si 1.59, 1 Be 1.59
29 O 0.2829 0.8287 0.9022  2 Si 1.65-1.68
30 O 0.3040 0.0261 0.2588  1 Si 1.66, 1 Be 1.72
31 O 0.3113 0.2247 0.6546  1 Si 1.62, 1 Be 1.66
32 O 0.3270 0.5853 0.1500  2 Si 1.64
33 O 0.3872 0.0194 0.8173  1 Si 1.62, 1 Be 1.63
34 O 0.4147 0.6730 0.3500  2 Si 1.64
35 O 0.4797 0.2754 0.3327  1 Si 1.59, 1 Be 1.59
36 O 0.5000 0.0000 0.0000  2 Si 1.62
37 O 0.5000 0.5000 0.0000  2 Si 1.63
38 O 0.5000 0.5000 0.5000  2 Si 1.63
39 O 0.5203 0.7246 0.6673  1 Si 1.59, 1 Be 1.59
40 O 0.5853 0.3270 0.6500  2 Si 1.64
41 O 0.6128 0.9806 0.1827  1 Si 1.62, 1 Be 1.63
42 O 0.6730 0.4147 0.8500  2 Si 1.64
43 O 0.6887 0.7753 0.3454  1 Si 1.62, 1 Be 1.66
44 O 0.6960 0.9739 0.7412  1 Si 1.66, 1 Be 1.72
45 O 0.7171 0.1713 0.0978  2 Si 1.65-1.68
46 O 0.7246 0.5203 0.1673  1 Si 1.59, 1 Be 1.59
47 O 0.7247 0.9270 0.5691  2 Si 1.65-1.66
48 O 0.7753 0.6887 0.8454  1 Si 1.62, 1 Be 1.66
49 O 0.8287 0.2829 0.4022  2 Si 1.65-1.68
50 O 0.9270 0.7247 0.0691  2 Si 1.65-1.66
51 O 0.9739 0.6960 0.2412  1 Si 1.66, 1 Be 1.72
52 O 0.9806 0.6128 0.6827  1 Si 1.62, 1 Be 1.63

Computed properties:
**V**: 12.7 A^3/atom
**Uncorrected energy**: -0.2614 Ha/atom
**Symmetry**: No. 15
**Magnetic moment**: 0.081 μB per atom
**Crystal system**: monoclinic
**Raw formation energy**: -2421.2 meV per atom

---

[3]
Here is a relaxed structure of NaSm2Be2O6 from Alexandria. Energies are from GGA-PBE.

a b c (Å): 6.6679 6.6679 6.6679
angles (deg): 46.54 46.54 46.54
Closest atoms and distances in Å follow each position.
Positions (direct):
1 Na 0.0000 0.0000 0.0000  6 O 2.34
2 Sm 0.2022 0.2022 0.2022  3 O 2.37
3 Sm 0.7978 0.7978 0.7978  3 O 2.37
4 Be 0.4304 0.4304 0.4304  3 O 1.52
5 Be 0.5696 0.5696 0.5696  3 O 1.52
6 O 0.2329 0.7332 0.7332  1 Be 1.52
7 O 0.2668 0.2668 0.7671  1 Be 1.52
8 O 0.2668 0.7671 0.2668  1 Be 1.52
9 O 0.7332 0.2329 0.7332  1 Be 1.52
10 O 0.7332 0.7332 0.2329  1 Be 1.52
11 O 0.7671 0.2668 0.2668  1 Be 1.52

Computed properties:
**V**: 13.0 A^3/atom
**Uncorrected energy**: -0.2485 Ha/atom
**Symmetry**: No. 166
**Magnetic moment**: 0.079 μB per atom
**Crystal system**: trigonal
**Raw formation energy**: -2401.8 meV per atom